VASP calculation (PBE with a Hubbard U) on Ba2U3MoO12 after structural relaxation. Values from VASP.

Calculated values
volume = 19.120 Å³ per atom
size of the total moment = 4.00 μB per formula unit
uncorrected energy = -156.2 eV/cell

Geometry as Quantum ESPRESSO input:
```
&SYSTEM
  ibrav = 0, nat = 18, ntyp = 4
/
ATOMIC_SPECIES
O 16.00 O.upf
Ba 137.33 Ba.upf
U 238.03 U.upf
Mo 95.94 Mo.upf
ATOMIC_POSITIONS angstrom
O 7.1074 4.1371 6.0972
O 7.8255 4.5551 0.0681
O 3.2524 4.7234 0.3514
O 5.7134 0.4955 0.3514
O 7.8255 1.5701 4.2765
O 11.6805 3.9688 5.8138
O 5.2299 6.0292 4.2765
O 9.7030 2.6630 1.8888
O 3.2524 1.8932 4.3416
O 7.1074 7.1221 1.8888
O 9.2195 8.1967 5.8138
O 11.6805 6.7990 1.8236
Ba 4.7926 2.7897 1.9787
Ba 10.1403 5.9025 4.1866
U 3.8406 -0.0964 -0.0683
U 1.8129 3.3872 -0.0683
U 1.8129 1.0553 3.2193
Mo 0.0000 0.0000 0.0000
CELL_PARAMETERS angstrom
7.6812 -0.1927 -0.1367
3.6258 6.7744 -0.1367
3.6258 2.1105 6.4387
```